# CdIrSe PBE relaxed
# ΔE_f (raw)   349 meV/atom
# Energy   -48.86 eV per cell
# ΔE to the lowest computed polymorph   251.3 meV per atom
data_CdIrSe
_chemical_formula_sum 'Cd4 Ir4 Se4'
_cell_length_a 2.887
_cell_length_b 5.127
_cell_length_c 16.044
_cell_angle_alpha 90.00
_cell_angle_beta 90.00
_cell_angle_gamma 90.00
_space_group_name_H-M_alt 'F m m 2'
_space_group_IT_number 42
_space_group_name_Hall 'F 2 -2'
loop_
_atom_site_label
_atom_site_fract_x
_atom_site_fract_y
_atom_site_fract_z
_atom_site_occupancy
Cd1 0.000 0.000 0.000 1
Ir1 0.000 0.000 0.656 1
Se1 0.000 0.000 0.284 1

---

# NiPdSe3 PBE relaxed
# ΔE_f (raw)   475 meV/atom
# Energy   -19.05 eV per cell
# ΔE to the lowest computed polymorph   682.0 meV per atom
data_NiPdSe3
_chemical_formula_sum 'Ni1 Pd1 Se3'
_cell_length_a 4.670
_cell_length_b 4.670
_cell_length_c 4.670
_cell_angle_alpha 90.00
_cell_angle_beta 90.00
_cell_angle_gamma 90.00
_space_group_name_H-M_alt 'P m -3 m'
_space_group_IT_number 221
_space_group_name_Hall '-P 4 2 3'
loop_
_atom_site_label
_atom_site_fract_x
_atom_site_fract_y
_atom_site_fract_z
_atom_site_occupancy
Ni1 0.000 0.000 0.000 1
Pd1 0.500 0.500 0.500 1
Se1 0.000 0.000 0.500 1

---

# Ac2GdTm PBE relaxed
# Energy   -26.58 eV per cell
# ΔE to the lowest computed polymorph   0.0 meV per atom
data_Ac2GdTm
_chemical_formula_sum 'Ac2 Gd1 Tm1'
_cell_length_a 3.857
_cell_length_b 3.857
_cell_length_c 10.123
_cell_angle_alpha 90.00
_cell_angle_beta 90.00
_cell_angle_gamma 90.00
_space_group_name_H-M_alt 'P 4/m m m'
_space_group_IT_number 123
_space_group_name_Hall '-P 4 2'
loop_
_atom_site_label
_atom_site_fract_x
_atom_site_fract_y
_atom_site_fract_z
_atom_site_occupancy
Ac1 0.000 0.000 0.245 1
Gd1 0.500 0.500 0.500 1
Tm1 0.500 0.500 0.000 1

---

# Li2PmGd PBE relaxed
# Energy   -22.12 eV per cell
# ΔE to the lowest computed polymorph   0.2 meV per atom
data_Li2PmGd
_chemical_formula_sum 'Li2 Pm1 Gd1'
_cell_length_a 5.337
_cell_length_b 5.337
_cell_length_c 3.737
_cell_angle_alpha 90.00
_cell_angle_beta 90.00
_cell_angle_gamma 90.00
_space_group_name_H-M_alt 'P 4/m m m'
_space_group_IT_number 123
_space_group_name_Hall '-P 4 2'
loop_
_atom_site_label
_atom_site_fract_x
_atom_site_fract_y
_atom_site_fract_z
_atom_site_occupancy
Li1 0.000 0.500 0.000 1
Pm1 0.000 0.000 0.500 1
Gd1 0.500 0.500 0.500 1

---

# LaTb7Sc3 PBE relaxed
# Energy   -53.82 eV per cell
data_LaTb7Sc3
_chemical_formula_sum 'La1 Tb7 Sc3'
_cell_length_a 7.0071
_cell_length_b 7.0071
_cell_length_c 8.2777
_cell_angle_alpha 90.00
_cell_angle_beta 90.00
_cell_angle_gamma 120.00
_space_group_name_H-M_alt 'P 3 m 1'
_space_group_IT_number 156
loop_
_space_group_symop_operation_xyz
'x,y,z'
'-y,x-y,z'
'-x+y,-x,z'
'-y,-x,z'
'-x+y,y,z'
'x,x-y,z'
loop_
_atom_site_label
_atom_site_fract_x
_atom_site_fract_y
_atom_site_fract_z
_atom_site_occupancy
La1 0.0000 0.0000 0.0000 1
Tb1 0.1662 0.3324 0.3421 1
Tb2 0.5009 0.0019 0.9814 1
Tb3 0.6667 0.3333 0.3275 1
Sc1 0.3371 0.1685 0.6594 1

---

# HfMo PBE relaxed
# Energy   -76.81 eV per cell
# ΔE to the lowest computed polymorph   898.9 meV per atom
data_HfMo
_chemical_formula_sum 'Hf4 Mo4'
_cell_length_a 5.399
_cell_length_b 5.399
_cell_length_c 5.525
_cell_angle_alpha 90.00
_cell_angle_beta 90.00
_cell_angle_gamma 90.00
_space_group_name_H-M_alt 'P 42/m n m'
_space_group_IT_number 136
_space_group_name_Hall '-P 4n 2n'
loop_
_atom_site_label
_atom_site_fract_x
_atom_site_fract_y
_atom_site_fract_z
_atom_site_occupancy
Hf1 0.201 0.201 0.000 1
Mo1 0.192 0.192 0.500 1

---

# Ho4Er3In PBE relaxed
# Energy   -71.19 eV per cell
data_Ho4Er3In
_chemical_formula_sum 'Ho8 Er6 In2'
_cell_length_a 11.110
_cell_length_b 6.965
_cell_length_c 6.114
_cell_angle_alpha 90.00
_cell_angle_beta 90.00
_cell_angle_gamma 90.00
_space_group_name_H-M_alt 'P m n 21'
_space_group_IT_number 31
loop_
_space_group_symop_operation_xyz
'x,y,z'
'-x+1/2,-y,z+1/2'
'-x,y,z'
'x+1/2,-y,z+1/2'
loop_
_atom_site_label
_atom_site_fract_x
_atom_site_fract_y
_atom_site_fract_z
_atom_site_occupancy
Ho1 0.000 0.127 0.000 1
Ho2 0.000 0.868 0.471 1
Ho3 0.239 0.873 0.825 1
Er1 0.000 0.370 0.472 1
Er2 0.243 0.383 0.805 1
In1 0.000 0.621 0.984 1

---

# K2Os PBE relaxed
# Energy   -18.94 eV per cell
# ΔE to the lowest computed polymorph   628.6 meV per atom
data_K2Os
_chemical_formula_sum 'K4 Os2'
_cell_length_a 2.694
_cell_length_b 5.589
_cell_length_c 10.340
_cell_angle_alpha 90.00
_cell_angle_beta 90.00
_cell_angle_gamma 90.00
_space_group_name_H-M_alt 'I m m m'
_space_group_IT_number 71
_space_group_name_Hall '-I 2 2'
loop_
_atom_site_label
_atom_site_fract_x
_atom_site_fract_y
_atom_site_fract_z
_atom_site_occupancy
K1 0.000 0.000 0.161 1
Os1 0.000 0.000 0.500 1